! Pm3Pr2Tm8, relaxed, DFT PBE-GGA; values from VASP
&SYSTEM
  ibrav = 0, nat = 13, ntyp = 3
/
ATOMIC_SPECIES
Pm 145.00 Pm.upf
Pr 140.91 Pr.upf
Tm 168.93 Tm.upf
CELL_PARAMETERS angstrom
6.571 0.000 0.000
-2.102 8.474 0.000
-3.246 -3.693 7.563
ATOMIC_POSITIONS crystal
Pm 0.000 0.000 0.000
Pm 0.289 0.905 0.726
Pm 0.711 0.095 0.274
Pr 0.123 0.245 0.769
Pr 0.877 0.755 0.231
Tm 0.120 0.486 0.356
Tm 0.267 0.675 0.081
Tm 0.347 0.166 0.468
Tm 0.488 0.597 0.775
Tm 0.512 0.403 0.225
Tm 0.653 0.834 0.532
Tm 0.733 0.325 0.919
Tm 0.880 0.514 0.644
! Mass density: 8.16 g/cm3
! Distance to the lowest polymorph of the same formula: 0 kJ/mol of formula units
! E_form: 0.07 eV per atom